Ac8Co3HBr3: optimized geometry, GGA-PBE.

Unit cell a=8.466 b=8.470 c=9.409 alpha=116.75 beta=89.96 gamma=119.99
Element x y z (fractional)
Ac  0.268  0.537  0.307
Ac  0.732  0.463  0.693
Ac  0.764  0.528  0.304
Ac  0.236  0.472  0.696
Ac  0.764  0.040  0.304
Ac  0.236  0.960  0.696
Ac  0.276  0.040  0.304
Ac  0.724  0.960  0.696
Co  0.500  0.000  0.500
Co  0.500  0.500  0.500
Co  0.000  0.500  0.500
H  0.000  0.000  0.500
Br  0.000  0.000  0.000
Br  0.000  0.500  0.000
Br  0.500  0.500  0.000

Calculated values
M_tot in μB per cell: 0.0
ρ in g cm⁻³: 7.4
Electronic total energy in eV per atom: -4.760
Space-group type: No. 12